Computed, not measured: an optimized crystal structure of NbB2Te at the GGA-PBEsol level of DFT.

Cell lengths 6.048, 6.048, 6.048 Å; angles 127.25, 127.25, 77.85 degrees
Fractional positions:
Nb: 0.000 0.000 0.000
Nb: 0.750 0.250 0.500
B: 0.119 0.125 0.494
B: 0.375 0.881 0.006
B: 0.631 0.625 0.506
B: 0.875 0.369 0.994
Te: 0.250 0.750 0.500
Te: 0.500 0.500 0.000

energy = -6.229 eV/atom

Computed, not measured: an optimized crystal structure of AlInPb2 at the GGA-PBEsol level of DFT.

Cell lengths 5.272, 5.272, 5.272 Å; angles 60.00, 60.00, 60.00 degrees
Fractional positions:
Al: 0.000 0.000 0.000
In: 0.500 0.500 0.500
Pb: 0.250 0.250 0.250
Pb: 0.750 0.750 0.750

energy = -3.596 eV/atom

Computed, not measured: an optimized crystal structure of AlCdSi at the GGA-PBEsol level of DFT.

Cell lengths 4.392, 4.392, 4.392 Å; angles 60.00, 60.00, 60.00 degrees
Fractional positions:
Al: 0.000 0.000 0.000
Cd: 0.250 0.250 0.250
Si: 0.750 0.750 0.750

energy = -3.383 eV/atom